# TcB3Rh, relaxed, DFT GGA-PBE
data_TcB3Rh
_chemical_formula_sum 'Tc1 B3 Rh1'
_symmetry_space_group_name_H-M 'P m -3 m'
_symmetry_Int_Tables_number 221
_symmetry_space_group_name_Hall '-P 4 2 3'
_cell_length_a 4.0001
_cell_length_b 4.0001
_cell_length_c 4.0001
_cell_angle_alpha 90.00
_cell_angle_beta 90.00
_cell_angle_gamma 90.00
loop_
_atom_site_label
_atom_site_fract_x
_atom_site_fract_y
_atom_site_fract_z
Tc1 0.0000 0.0000 0.0000
B1 0.0000 0.0000 0.5000
Rh1 0.5000 0.5000 0.5000
# formation energy = 1.24 eV/atom
# N(E_F) = 3.95 states/eV/cell

---

# LaZnOs2, relaxed, DFT GGA-PBE
data_LaZnOs2
_chemical_formula_sum 'La2 Zn2 Os4'
_symmetry_space_group_name_H-M 'C 1 m 1'
_symmetry_Int_Tables_number 8
_symmetry_space_group_name_Hall 'C -2y'
_cell_length_a 10.9736
_cell_length_b 2.9973
_cell_length_c 5.4397
_cell_angle_alpha 90.00
_cell_angle_beta 119.18
_cell_angle_gamma 90.00
loop_
_atom_site_label
_atom_site_fract_x
_atom_site_fract_y
_atom_site_fract_z
La1 0.0000 0.0000 0.0000
Zn1 0.1897 0.0000 0.7091
Os1 0.2691 0.5000 0.4147
Os2 0.4639 0.0000 0.4405
# formation energy = 0.34 eV/atom
# N(E_F) = 8.35 states/eV/cell

---

# KCa2Fe, relaxed, DFT GGA-PBE
data_KCa2Fe
_chemical_formula_sum 'K4 Ca8 Fe4'
_symmetry_space_group_name_H-M 'I 41/a m d'
_symmetry_Int_Tables_number 141
_cell_length_a 7.8189
_cell_length_b 7.8189
_cell_length_c 11.0815
_cell_angle_alpha 90.00
_cell_angle_beta 90.00
_cell_angle_gamma 90.00
loop_
_symmetry_equiv_pos_as_xyz
'x,y,z'
'-x,-y,-z'
'-y+1/4,x+3/4,z+1/4'
'y+1/4,-x+3/4,-z+1/4'
'-x+1/2,-y,z+1/2'
'x+1/2,y,-z+1/2'
'y+1/4,-x+1/4,z+3/4'
'-y+1/4,x+1/4,-z+3/4'
'x,-y,-z'
'-x,y,z'
'-y+1/4,-x+1/4,-z+3/4'
'y+1/4,x+1/4,z+3/4'
'-x+1/2,y,-z+1/2'
'x+1/2,-y,z+1/2'
'y+1/4,x+3/4,-z+1/4'
'-y+1/4,-x+3/4,z+1/4'
'x+1/2,y+1/2,z+1/2'
'-x+1/2,-y+1/2,-z+1/2'
'-y+3/4,x+1/4,z+3/4'
'y+3/4,-x+1/4,-z+3/4'
'-x,-y+1/2,z'
'x,y+1/2,-z'
'y+3/4,-x+3/4,z+1/4'
'-y+3/4,x+3/4,-z+1/4'
'x+1/2,-y+1/2,-z+1/2'
'-x+1/2,y+1/2,z+1/2'
'-y+3/4,-x+3/4,-z+1/4'
'y+3/4,x+3/4,z+1/4'
'-x,y+1/2,-z'
'x,-y+1/2,z'
'y+3/4,x+1/4,-z+3/4'
'-y+3/4,-x+1/4,z+3/4'
loop_
_atom_site_label
_atom_site_fract_x
_atom_site_fract_y
_atom_site_fract_z
K1 0.0000 0.2500 0.3750
Ca1 0.0000 0.0000 0.0000
Fe1 0.0000 0.2500 0.8750
# formation energy = 0.88 eV/atom
# N(E_F) = 18.45 states/eV/cell

---

# K7NaHg2, relaxed, DFT GGA-PBE
data_K7NaHg2
_chemical_formula_sum 'K7 Na1 Hg2'
_symmetry_space_group_name_H-M 'P 3 m 1'
_symmetry_Int_Tables_number 156
_symmetry_space_group_name_Hall 'P 3 -2"'
_cell_length_a 6.3736
_cell_length_b 6.3736
_cell_length_c 15.3904
_cell_angle_alpha 90.00
_cell_angle_beta 90.00
_cell_angle_gamma 120.00
loop_
_atom_site_label
_atom_site_fract_x
_atom_site_fract_y
_atom_site_fract_z
K1 0.0000 0.0000 0.0000
K2 0.0000 0.0000 0.2611
K3 0.0000 0.0000 0.5522
K4 0.3333 0.6667 0.1297
K5 0.3333 0.6667 0.7163
K6 0.6667 0.3333 0.3734
K7 0.6667 0.3333 0.8598
Na1 0.3333 0.6667 0.4285
Hg1 0.0000 0.0000 0.7773
Hg2 0.6667 0.3333 0.1242
# formation energy = -0.06 eV/atom
# N(E_F) = 4.99 states/eV/cell

---

# Cd2HgPb, relaxed, DFT GGA-PBE
data_Cd2HgPb
_chemical_formula_sum 'Cd8 Hg4 Pb4'
_symmetry_space_group_name_H-M 'F -4 3 m'
_symmetry_Int_Tables_number 216
_symmetry_space_group_name_Hall 'F -4 2 3'
_cell_length_a 7.4752
_cell_length_b 7.4752
_cell_length_c 7.4752
_cell_angle_alpha 90.00
_cell_angle_beta 90.00
_cell_angle_gamma 90.00
loop_
_atom_site_label
_atom_site_fract_x
_atom_site_fract_y
_atom_site_fract_z
Cd1 0.0000 0.0000 0.0000
Cd2 0.2500 0.2500 0.2500
Hg1 0.2500 0.2500 0.7500
Pb1 0.0000 0.0000 0.5000
# formation energy = 0.11 eV/atom
# N(E_F) = 9.21 states/eV/cell

---

# CdBi2Pb8, relaxed, DFT GGA-PBE
data_CdBi2Pb8
_chemical_formula_sum 'Cd2 Bi4 Pb16'
_symmetry_space_group_name_H-M 'C 1 2/m 1'
_symmetry_Int_Tables_number 12
_symmetry_space_group_name_Hall '-C 2y'
_cell_length_a 10.0560
_cell_length_b 15.5653
_cell_length_c 4.8284
_cell_angle_alpha 90.00
_cell_angle_beta 98.33
_cell_angle_gamma 90.00
loop_
_atom_site_label
_atom_site_fract_x
_atom_site_fract_y
_atom_site_fract_z
Cd1 0.0000 0.0000 0.0000
Bi1 0.0000 0.3492 0.5000
Pb1 0.0000 0.2129 0.0000
Pb2 0.1548 0.5000 0.9057
Pb3 0.1812 0.1110 0.5431
# formation energy = 0.09 eV/atom
# N(E_F) = 9.29 states/eV/cell

---

# NbHgSb2, relaxed, DFT GGA-PBE
data_NbHgSb2
_chemical_formula_sum 'Nb4 Hg4 Sb8'
_symmetry_space_group_name_H-M 'I -4 2 d'
_symmetry_Int_Tables_number 122
_symmetry_space_group_name_Hall 'I -4 2bw'
_cell_length_a 6.5660
_cell_length_b 6.5660
_cell_length_c 12.6048
_cell_angle_alpha 90.00
_cell_angle_beta 90.00
_cell_angle_gamma 90.00
loop_
_atom_site_label
_atom_site_fract_x
_atom_site_fract_y
_atom_site_fract_z
Nb1 0.0000 0.0000 0.0000
Hg1 0.0000 0.0000 0.5000
Sb1 0.2242 0.2500 0.1250
# N(E_F) = 15.36 states/eV/cell
# E_form (uncorrected) = 0.42 eV per atom

---

# Pm4Pr3Hg, relaxed, DFT GGA-PBE
data_Pm4Pr3Hg
_chemical_formula_sum 'Pm4 Pr3 Hg1'
_symmetry_space_group_name_H-M 'P 4/m m m'
_symmetry_Int_Tables_number 123
_symmetry_space_group_name_Hall '-P 4 2'
_cell_length_a 4.1930
_cell_length_b 4.1930
_cell_length_c 14.9762
_cell_angle_alpha 90.00
_cell_angle_beta 90.00
_cell_angle_gamma 90.00
loop_
_atom_site_label
_atom_site_fract_x
_atom_site_fract_y
_atom_site_fract_z
Pm1 0.0000 0.0000 0.1110
Pm2 0.0000 0.0000 0.3728
Pr1 0.5000 0.5000 0.2511
Pr2 0.5000 0.5000 0.5000
Hg1 0.5000 0.5000 0.0000
# formation energy = -0.02 eV/atom
# N(E_F) = 12.87 states/eV/cell

---

no.,magnetization (μB/atom)
1,0.19
2,0.00
3,0.00
4,0.00
5,0.00
6,0.00
7,0.21
8,0.00